# 1
Below is a relaxed KEuYWO6 crystal, with properties calculated at the GGA+U level.

abc: 5.924 5.924 5.924
angles: 60.00 60.00 60.00
Atoms (fractional coordinates):
K 0.000 0.000 0.000
Eu 0.500 0.500 0.500
Y 0.750 0.750 0.750
W 0.250 0.250 0.250
O 0.017 0.017 0.483
O 0.017 0.483 0.017
O 0.017 0.483 0.483
O 0.483 0.017 0.017
O 0.483 0.017 0.483
O 0.483 0.483 0.017

Calculated values
total moment: 0.700 μB/atom
total DFT energy (no corrections): -81.03 eV/f.u.

---

# 2
Below is a relaxed Na2V3F8 crystal, with properties calculated at the GGA+U level.

abc: 6.436 6.436 5.534
angles: 105.22 105.22 60.67
Atoms (fractional coordinates):
Na 0.214 0.214 0.130
Na 0.786 0.786 0.870
V 0.244 0.756 0.500
V 0.500 0.500 0.000
V 0.756 0.244 0.500
F 0.102 0.102 0.410
F 0.166 0.610 0.115
F 0.390 0.834 0.885
F 0.401 0.401 0.601
F 0.599 0.599 0.399
F 0.610 0.166 0.115
F 0.834 0.390 0.885
F 0.898 0.898 0.590

Calculated values
total moment: 0.692 μB/atom
total DFT energy (no corrections): -74.83 eV/f.u.